No. 1
Compound: SrGdAgSn
Source: Alexandria
Functional: PBE
Structure: optimized geometry

Calculated values
The energy of formation from the pure elements is -485 meV/atom.

Cell lengths 5.4588, 5.4588, 5.4588 Å; angles 60.00, 60.00, 60.00 degrees
Sites, in units of the cell vectors:
Sr1 0.0000 0.0000 0.0000
Gd1 0.5000 0.5000 0.5000
Ag1 0.2500 0.2500 0.2500
Sn1 0.7500 0.7500 0.7500

No. 2
Compound: TbGdAgSn
Source: Alexandria
Functional: PBE
Structure: optimized geometry

Calculated values
The energy of formation from the pure elements is -534 meV/atom.

Cell lengths 5.2649, 5.2649, 5.2649 Å; angles 60.00, 60.00, 60.00 degrees
Sites, in units of the cell vectors:
Tb1 0.0000 0.0000 0.0000
Gd1 0.5000 0.5000 0.5000
Ag1 0.7500 0.7500 0.7500
Sn1 0.2500 0.2500 0.2500

No. 3
Compound: GdThAgSn
Source: Alexandria
Functional: PBE
Structure: optimized geometry

Calculated values
The energy of formation from the pure elements is -364 meV/atom.

Cell lengths 5.3434, 5.3434, 5.3434 Å; angles 60.00, 60.00, 60.00 degrees
Sites, in units of the cell vectors:
Gd1 0.0000 0.0000 0.0000
Th1 0.5000 0.5000 0.5000
Ag1 0.2500 0.2500 0.2500
Sn1 0.7500 0.7500 0.7500

No. 4
Compound: GdTiAgSn
Source: Alexandria
Functional: PBE
Structure: optimized geometry

Calculated values
The energy of formation from the pure elements is -249 meV/atom.

Cell lengths 5.0292, 5.0292, 5.0292 Å; angles 60.00, 60.00, 60.00 degrees
Sites, in units of the cell vectors:
Gd1 0.0000 0.0000 0.0000
Ti1 0.5000 0.5000 0.5000
Ag1 0.2500 0.2500 0.2500
Sn1 0.7500 0.7500 0.7500

Number 1: DOS(E_F) 3.90 states/eV/cell, magnetic moment 7.0 Bohr magnetons per cell, uncorrected energy -6.140 eV/atom. Number 2: DOS(E_F) 3.39 states/eV/cell, magnetic moment 7.9 Bohr magnetons per cell, uncorrected energy -6.925 eV/atom. Number 3: DOS(E_F) 4.93 states/eV/cell, magnetic moment 7.4 Bohr magnetons per cell, uncorrected energy -7.452 eV/atom. Number 4: DOS(E_F) 3.03 states/eV/cell, magnetic moment 9.0 Bohr magnetons per cell, uncorrected energy -7.457 eV/atom.